## RbSiI2O (PBE-GGA)

Data for a relaxed RbSiI2O crystal.

Geometry as POSCAR:
```
RbSiI2O
1.0
-0.0659 6.4223 0.9285
-2.6280 -0.8754 5.8685
3.8527 -0.2055 1.6946
I Si O Rb
2 1 1 1
direct
0.0000 0.5000 0.0000
0.5000 0.0000 0.0000
0.5000 0.5000 0.5000
0.0000 0.0000 0.5000
0.0000 0.0000 0.0000
```

Values from the calculation:
- M_tot (μB per cell) = 0.000
- formation energy (no corrections) (eV per atom) = 0.711
- energy above the lowest structure with this stoichiometry (eV per formula unit) = 7.909
- E (eV per atom) = -2.1787